DFT (PBE-GGA) results for Mg2Cd2Pd3 after structural relaxation.

Properties
Formation enthalpy at 0 K: -0.52 eV per atom

Cell and atoms, written as CIF:
```
data_Mg2Cd2Pd3
_space_group_name_H-M_alt 'P -1'
_space_group_IT_number 2
_cell_length_a 4.4980
_cell_length_b 4.5010
_cell_length_c 7.7915
_cell_angle_alpha 73.30
_cell_angle_beta 73.59
_cell_angle_gamma 60.20
loop_
_space_group_symop_operation_xyz
'x,y,z'
'-x,-y,-z'
loop_
_atom_site_label
_atom_site_type_symbol
_atom_site_fract_x
_atom_site_fract_y
_atom_site_fract_z
_atom_site_occupancy
Mg1 Mg 0.1194 0.1198 0.1411 1
Cd1 Cd 0.3705 0.3685 0.3899 1
Pd1 Pd 0.2421 0.2436 0.7736 1
Pd2 Pd 0.5000 0.5000 0.0000 1
```